(1)
DFT (PBE-GGA) results for an optimized crystal structure of V7Ga.

```
V7Ga
1.0
-2.1216 2.1216 6.0521
2.1216 -2.1216 6.0521
2.1216 2.1216 -6.0521
V Ga
7 1
Direct
0.0000 0.0000 0.0000
0.1306 0.6306 0.5000
0.2468 0.2468 0.0000
0.3694 0.8694 0.5000
0.6306 0.1306 0.5000
0.7532 0.7532 0.0000
0.8694 0.3694 0.5000
0.5000 0.5000 0.0000
```

Computed properties:
Calculated formation energy: -0.06 eV/atom
Volume: 13.62 Å³ per atom
Spin magnetization: 0.00 μB per formula unit

---

(2)
DFT (PBE-GGA) results for an optimized crystal structure of V5Ga3.

```
V5Ga3
1.0
2.3830 -6.8623 0.0000
2.3830 6.8623 0.0000
-2.3658 0.0000 6.8599
V Ga
10 6
Direct
0.0763 0.7309 0.8031
0.2095 0.4067 0.6541
0.2465 0.2465 0.9930
0.2691 0.9237 0.1969
0.4067 0.2095 0.6541
0.5933 0.7905 0.3459
0.7309 0.0763 0.8031
0.7535 0.7535 0.0070
0.7905 0.5933 0.3459
0.9237 0.2691 0.1969
0.1886 0.1886 0.3355
0.2542 0.7458 0.5000
0.3326 0.6674 0.0000
0.6674 0.3326 0.0000
0.7458 0.2542 0.5000
0.8114 0.8114 0.6645
```

Computed properties:
Energy above the most stable polymorph in this dataset: 0.000 eV/atom
Calculated formation energy: -0.20 eV/atom
Volume: 14.02 Å³ per atom
Spin magnetization: 0.00 μB per formula unit

---

(3)
DFT (PBE-GGA) results for an optimized crystal structure of VGa.

```
VGa
1.0
0.0000 5.1159 8.4036
1.3300 0.0000 8.4036
1.3300 5.1159 0.0000
V Ga
4 4
Direct
0.0067 0.0067 0.2433
0.2433 0.2433 0.0067
0.7567 0.7567 0.9933
0.9933 0.9933 0.7567
0.2454 0.5046 0.2454
0.4954 0.7546 0.4954
0.5046 0.2454 0.5046
0.7546 0.4954 0.7546
```

Computed properties:
Calculated formation energy: -0.09 eV/atom
Volume: 14.29 Å³ per atom
Spin magnetization: 0.00 μB per formula unit

---

(4)
DFT (PBE-GGA) results for an optimized crystal structure of V6Ga5.

```
V6Ga5
1.0
8.4700 0.0000 0.0000
-4.2350 7.3352 0.0000
0.0000 0.0000 5.1232
V Ga
12 10
Direct
0.0000 0.5000 0.0000
0.0000 0.5000 0.5000
0.1562 0.3125 0.2500
0.1562 0.8438 0.2500
0.3125 0.1562 0.7500
0.5000 0.0000 0.0000
0.5000 0.0000 0.5000
0.5000 0.5000 0.0000
0.5000 0.5000 0.5000
0.6875 0.8438 0.2500
0.8438 0.1562 0.7500
0.8438 0.6875 0.7500
0.0000 0.0000 0.0000
0.0000 0.0000 0.5000
0.2035 0.4071 0.7500
0.2035 0.7965 0.7500
0.3333 0.6667 0.2500
0.4071 0.2035 0.2500
0.5929 0.7965 0.7500
0.6667 0.3333 0.7500
0.7965 0.2035 0.2500
0.7965 0.5929 0.2500
```

Computed properties:
Energy above the most stable polymorph in this dataset: 0.000 eV/atom
Calculated formation energy: -0.22 eV/atom
Volume: 14.47 Å³ per atom
Spin magnetization: 0.00 μB per formula unit

---

(5)
DFT (PBE-GGA) results for an optimized crystal structure of V8Ga.

```
V8Ga
1.0
-4.4689 4.4689 1.5343
4.4689 -4.4689 1.5343
4.4689 4.4689 -1.5343
V Ga
8 1
Direct
0.0000 0.3349 0.3349
0.0000 0.6651 0.6651
0.3286 0.3286 0.6573
0.3286 0.6714 0.0000
0.3349 0.0000 0.3349
0.6651 0.0000 0.6651
0.6714 0.3286 0.0000
0.6714 0.6714 0.3427
0.0000 0.0000 0.0000
```

Computed properties:
Energy above the most stable polymorph in this dataset: 0.000 eV/atom
Calculated formation energy: -0.07 eV/atom
Volume: 13.62 Å³ per atom
Spin magnetization: 0.00 μB per formula unit

---

(6)
DFT (PBE-GGA) results for an optimized crystal structure of V5Ga4.

```
V5Ga4
1.0
-4.3289 4.3289 1.7122
4.3289 -4.3289 1.7122
4.3289 4.3289 -1.7122
V Ga
5 4
Direct
0.0000 0.0000 0.0000
0.3282 0.3282 0.6563
0.3282 0.6718 0.0000
0.6718 0.3282 0.0000
0.6718 0.6718 0.3437
0.0000 0.3171 0.3171
0.0000 0.6829 0.6829
0.3171 0.0000 0.3171
0.6829 0.0000 0.6829
```

Computed properties:
Energy above the most stable polymorph in this dataset: 0.017 eV/atom
Calculated formation energy: -0.14 eV/atom
Volume: 14.26 Å³ per atom
Spin magnetization: 0.00 μB per formula unit

---

(7)
DFT (PBE-GGA) results for an optimized crystal structure of VGa.

```
VGa
1.0
10.8938 0.0000 0.0000
0.0000 2.7151 0.0000
0.0000 0.0000 6.4746
V Ga
6 6
Direct
0.0000 0.1197 0.0000
0.1073 0.9684 0.3147
0.3927 0.0316 0.8147
0.5000 0.8803 0.5000
0.6073 0.0316 0.8147
0.8927 0.9684 0.3147
0.0000 0.5429 0.6427
0.2185 0.5367 0.0005
0.2815 0.4633 0.5005
0.5000 0.4571 0.1427
0.7185 0.4633 0.5005
0.7815 0.5367 0.0005
```

Computed properties:
Calculated formation energy: -0.01 eV/atom
Volume: 15.96 Å³ per atom
Spin magnetization: 0.00 μB per formula unit

---

(8)
DFT (PBE-GGA) results for an optimized crystal structure of VGa.

```
VGa
1.0
2.7746 0.0000 0.0000
-1.3873 2.4029 0.0000
0.0000 0.0000 4.3455
V Ga
1 1
Direct
0.0000 0.0000 0.0000
0.3333 0.6667 0.5000
```

Computed properties:
Calculated formation energy: -0.12 eV/atom
Volume: 14.49 Å³ per atom
Spin magnetization: 0.00 μB per formula unit

---

(9)
DFT (PBE-GGA) results for an optimized crystal structure of V5Ga3.

```
V5Ga3
1.0
7.3444 0.0000 0.0000
-3.6722 6.3604 0.0000
0.0000 0.0000 4.8815
V Ga
10 6
Direct
0.0000 0.2373 0.2500
0.0000 0.7627 0.7500
0.2373 0.0000 0.2500
0.2373 0.2373 0.7500
0.3333 0.6667 0.0000
0.3333 0.6667 0.5000
0.6667 0.3333 0.0000
0.6667 0.3333 0.5000
0.7627 0.0000 0.7500
0.7627 0.7627 0.2500
0.0000 0.3968 0.7500
0.0000 0.6032 0.2500
0.3968 0.0000 0.7500
0.3968 0.3968 0.2500
0.6032 0.0000 0.2500
0.6032 0.6032 0.7500
```

Computed properties:
Energy above the most stable polymorph in this dataset: 0.081 eV/atom
Calculated formation energy: -0.12 eV/atom
Volume: 14.25 Å³ per atom
Spin magnetization: 1.15 μB per formula unit

---

(10)
DFT (PBE-GGA) results for an optimized crystal structure of VGa.

```
VGa
1.0
6.9354 0.0000 0.0000
-3.4677 6.0062 0.0000
0.0000 0.0000 4.5765
V Ga
6 6
Direct
0.1050 0.6191 0.2500
0.3809 0.4859 0.2500
0.4859 0.1050 0.7500
0.5141 0.8950 0.2500
0.6191 0.5141 0.7500
0.8950 0.3809 0.7500
0.0691 0.8031 0.7500
0.1969 0.2660 0.7500
0.2660 0.0691 0.2500
0.7340 0.9309 0.7500
0.8031 0.7340 0.2500
0.9309 0.1969 0.2500
```

Computed properties:
Calculated formation energy: 0.24 eV/atom
Volume: 15.89 Å³ per atom
Spin magnetization: 0.00 μB per formula unit

---

(11)
DFT (PBE-GGA) results for an optimized crystal structure of V3Ga4.

```
V3Ga4
1.0
4.5992 -2.2484 0.0000
4.5992 2.2484 0.0000
-0.5435 0.0000 4.9496
V Ga
3 4
Direct
0.0000 0.0000 0.0000
0.2704 0.2704 0.1358
0.7296 0.7296 0.8642
0.1447 0.1447 0.5845
0.4306 0.4306 0.7275
0.5694 0.5694 0.2725
0.8553 0.8553 0.4155
```

Computed properties:
Calculated formation energy: -0.09 eV/atom
Volume: 14.62 Å³ per atom
Spin magnetization: 0.00 μB per formula unit

---

(12)
DFT (PBE-GGA) results for an optimized crystal structure of VGa.

```
VGa
1.0
7.0572 0.0000 0.0000
0.0000 7.0572 0.0000
0.0000 0.0000 7.0572
V Ga
6 6
Direct
0.0000 0.2500 0.5000
0.0000 0.7500 0.5000
0.2500 0.5000 0.0000
0.5000 0.0000 0.2500
0.5000 0.0000 0.7500
0.7500 0.5000 0.0000
0.0000 0.5000 0.2500
0.0000 0.5000 0.7500
0.2500 0.0000 0.5000
0.5000 0.2500 0.0000
0.5000 0.7500 0.0000
0.7500 0.0000 0.5000
```

Computed properties:
Calculated formation energy: 1.41 eV/atom
Volume: 29.29 Å³ per atom
Spin magnetization: 2.34 μB per formula unit

---

> Which formula does entry 6 have?

V5Ga4

---

> Which of these has the highest spin magnetization?

number 12

---

Copy entry 9 word for word.
DFT (PBE-GGA) results for an optimized crystal structure of V5Ga3.

```
V5Ga3
1.0
7.3444 0.0000 0.0000
-3.6722 6.3604 0.0000
0.0000 0.0000 4.8815
V Ga
10 6
Direct
0.0000 0.2373 0.2500
0.0000 0.7627 0.7500
0.2373 0.0000 0.2500
0.2373 0.2373 0.7500
0.3333 0.6667 0.0000
0.3333 0.6667 0.5000
0.6667 0.3333 0.0000
0.6667 0.3333 0.5000
0.7627 0.0000 0.7500
0.7627 0.7627 0.2500
0.0000 0.3968 0.7500
0.0000 0.6032 0.2500
0.3968 0.0000 0.7500
0.3968 0.3968 0.2500
0.6032 0.0000 0.2500
0.6032 0.6032 0.7500
```

Computed properties:
Energy above the most stable polymorph in this dataset: 0.081 eV/atom
Calculated formation energy: -0.12 eV/atom
Volume: 14.25 Å³ per atom
Spin magnetization: 1.15 μB per formula unit